Record 1
Below is crystalline Li2ZrMn at its relaxed geometry, with properties calculated at the GGA-PBE level.

Cell: 2.983 5.163 4.488 Å, 90.00 96.31 90.00°
Fractional coordinates of all 4 atoms:
Li1 0.212 0.000 0.270
Li2 0.788 0.000 0.730
Zr1 0.500 0.500 0.000
Mn1 0.000 0.500 0.500

Values from the calculation:
- Magnetic moment: 2.0 μB/cell
- Formation energy: 0.2771 eV per atom
- DOS at the Fermi energy: 2.99 states/eV/f.u.

***

Record 2
Below is crystalline NpPaVOs at its relaxed geometry, with properties calculated at the GGA-PBE level.

Cell: 4.670 4.670 4.670 Å, 60.00 60.00 60.00°
Fractional coordinates of all 4 atoms:
Np1 0.000 0.000 0.000
Pa1 0.750 0.750 0.750
V1 0.250 0.250 0.250
Os1 0.500 0.500 0.500

Values from the calculation:
- Magnetic moment: 4.0 μB/cell
- Formation energy: 0.0766 eV per atom
- DOS at the Fermi energy: 10.47 states/eV/f.u.